# 1
# CeCo2NiH8 PBE-GGA optimized geometry
# **Crystal system**: trigonal
# **Volume**: 89.8 Å³ per cell
data_CeCo2NiH8
_cell_length_a 4.430
_cell_length_b 4.430
_cell_length_c 5.873
_cell_angle_alpha 67.84
_cell_angle_beta 67.84
_cell_angle_gamma 60.00
_space_group_name_H-M_alt 'P 1'
_space_group_IT_number 1
_space_group_name_Hall 'P 1'
loop_
_atom_site_label
_atom_site_type_symbol
_atom_site_fract_x
_atom_site_fract_y
_atom_site_fract_z
H1 H 0.198 0.198 0.405
H2 H 0.681 0.090 0.868
H3 H 0.319 0.910 0.132
H4 H 0.802 0.802 0.595
H5 H 0.361 0.681 0.868
H6 H 0.090 0.361 0.868
H7 H 0.910 0.639 0.132
H8 H 0.639 0.319 0.132
Ni1 Ni 0.000 0.000 0.000
Co1 Co 0.300 0.300 0.099
Co2 Co 0.700 0.700 0.901
Ce1 Ce 0.500 0.500 0.500

***

# 2
# SiRuI2N PBE-GGA optimized geometry
# **Formation energy from raw total energies**: 15.2 kcal/mol of atoms
# **Crystal system**: tetragonal
# **ΔE to the lowest computed polymorph**: 0.0 meV/atom
# **Volume**: 114.1 Å³ per cell
data_SiRuI2N
_cell_length_a 5.536
_cell_length_b 5.536
_cell_length_c 3.722
_cell_angle_alpha 90.00
_cell_angle_beta 90.00
_cell_angle_gamma 90.00
_space_group_name_H-M_alt 'P 1'
_space_group_IT_number 1
_space_group_name_Hall 'P 1'
loop_
_atom_site_label
_atom_site_type_symbol
_atom_site_fract_x
_atom_site_fract_y
_atom_site_fract_z
Ru1 Ru 0.000 0.000 0.000
Si1 Si 0.500 0.500 0.500
I1 I 0.000 0.500 0.000
I2 I 0.500 0.000 0.000
N1 N 0.000 0.000 0.500

***

Number 1: total moment 0.80 μB per formula unit, calculated total energy -4.6059 eV/atom, mass density 6.0 g/cm³. Number 2: total moment 0.00 μB per formula unit, calculated total energy -4.5640 eV/atom, mass density 5.8 g/cm³.